A geometry-optimized PmVBO5 structure, computed with PBE with a Hubbard U.

Space group: Cmcm (63)
E, eV per cell: -125.47

POSCAR file:
```
PmVBO5
1.0
-3.259 0.289 3.948
1.303 -4.951 -0.289
5.388 1.164 4.363
Pm V B O
2 2 2 10
direct
0.000 0.000 0.500
0.000 0.000 0.000
0.402 0.598 0.250
0.598 0.402 0.750
0.733 0.267 0.250
0.267 0.733 0.750
0.183 0.817 0.250
0.817 0.183 0.750
0.046 0.318 0.250
0.954 0.682 0.750
0.682 0.954 0.250
0.318 0.046 0.750
0.622 0.378 0.412
0.378 0.622 0.588
0.622 0.378 0.088
0.378 0.622 0.912
```